## PuTlSnPb (PBE)

Data for an optimized crystal structure of PuTlSnPb.

Computed properties:
* total magnetic moment: 6.01 μB per cell
* energy of formation from the pure elements: -0.01 eV per atom
* theoretical density: 11.059 g cm⁻³
* ΔE to the lowest computed polymorph: 15.6 kJ per mole of atoms

Cell and atoms, written as POSCAR:
```
PuTlSnPb
1.0
-4.032 -2.417 -2.814
1.196 -3.550 -3.997
-1.001 -5.342 0.690
Pu Sn Pb Tl
1 1 1 1
Direct
0.000 0.000 0.000
0.250 0.250 0.250
0.500 0.500 0.500
0.750 0.750 0.750
```

***

## BaSbHI2 (PBE)

Data for an optimized crystal structure of BaSbHI2.

Computed properties:
* total magnetic moment: 4.00 μB per cell
* theoretical density: 2.433 g cm⁻³
* ΔE to the lowest computed polymorph: 52.5 kJ per mole of atoms

Cell and atoms, written as POSCAR:
```
BaSbHI2
1.0
-4.208 4.358 -2.892
-5.116 -4.199 1.116
-1.258 3.368 6.906
I Sb Ba H
2 1 1 1
Direct
0.000 0.500 0.000
0.500 0.000 0.000
0.000 0.000 0.500
0.000 0.000 0.000
0.500 0.500 0.500
```

***

## IrRuRh2 (PBE)

Data for an optimized crystal structure of IrRuRh2.

Computed properties:
* total magnetic moment: 0.00 μB per cell
* energy of formation from the pure elements: 0.16 eV per atom
* theoretical density: 14.399 g cm⁻³
* ΔE to the lowest computed polymorph: 16.1 kJ per mole of atoms

Cell and atoms, written as POSCAR:
```
IrRuRh2
1.0
-1.724 -0.304 3.795
0.578 -2.635 0.052
4.822 -0.346 2.163
Rh Ir Ru
2 1 1
Direct
0.500 0.056 0.269
0.000 0.194 0.982
0.500 0.803 0.774
0.000 0.447 0.475
```

***

Among the records above, which one has the highest total magnetic moment?
PuTlSnPb